# 1
# PmPrDyZn

A relaxed structure of PmPrDyZn (PBE, Alexandria via LeMat-Bulk).

* distance to the lowest polymorph of the same formula: 0 meV/atom
* calculated volume: 29.12 A^3/atom
* crystal system: tetragonal
* DOS(E_F): 4.86 states/eV/f.u.

a = 3.6388 Å, b = 3.6388 Å, c = 8.7969 Å
α = 90.00°, β = 90.00°, γ = 90.00°
Last column: nearest neighbours and their distance in Å.
Sites, in units of the cell vectors:
Pm: 0.0000 0.0000 0.0000  4 Zn 3.19, 1 Dy 3.57
Pr: 0.5000 0.5000 0.3022  4 Dy 3.63, 4 Pr 3.64, 4 Pm 3.70
Dy: 0.0000 0.0000 0.5941  4 Zn 3.08
Zn: 0.5000 0.5000 0.7858  4 Dy 3.08, 4 Pm 3.19



# 2
# PmPrDyZn

A relaxed structure of PmPrDyZn (PBE, Alexandria via LeMat-Bulk).

* distance to the lowest polymorph of the same formula: 234 meV/atom
* calculated volume: 28.62 A^3/atom
* crystal system: cubic
* DOS(E_F): 5.27 states/eV/f.u.

a = 5.4500 Å, b = 5.4500 Å, c = 5.4500 Å
α = 60.00°, β = 60.00°, γ = 60.00°
Last column: nearest neighbours and their distance in Å.
Sites, in units of the cell vectors:
Pm: 0.0000 0.0000 0.0000  4 Pr 3.34, 4 Dy 3.34
Pr: 0.7500 0.7500 0.7500  4 Zn 3.34, 4 Pm 3.34
Dy: 0.2500 0.2500 0.2500  4 Zn 3.34, 4 Pm 3.34
Zn: 0.5000 0.5000 0.5000  4 Dy 3.34, 4 Pr 3.34



# 3
# PmPrDyZr

A relaxed structure of PmPrDyZr (PBE, Alexandria via LeMat-Bulk).

* calculated volume: 30.75 A^3/atom
* calculated total energy: -21.67 eV per formula unit
* crystal system: cubic
* DOS(E_F): 8.95 states/eV/f.u.

a = 5.5825 Å, b = 5.5825 Å, c = 5.5825 Å
α = 60.00°, β = 60.00°, γ = 60.00°
Last column: nearest neighbours and their distance in Å.
Sites, in units of the cell vectors:
Pm: 0.0000 0.0000 0.0000  4 Pr 3.42, 4 Zr 3.42
Pr: 0.7500 0.7500 0.7500  4 Dy 3.42, 4 Pm 3.42
Dy: 0.5000 0.5000 0.5000  4 Zr 3.42, 4 Pr 3.42
Zr: 0.2500 0.2500 0.2500  4 Dy 3.42, 4 Pm 3.42



Question: Which of these has the lowest DOS(E_F)?
Answer: number 1



Question: Look up the DOS(E_F) of the first one.
Answer: 4.86 states/eV/f.u.